This record from Alexandria describes an optimized crystal structure of Nd2Al4Zn3Au. The functional is PBE.

Cell lengths 4.274, 4.274, 10.797 Å; angles 90.00, 90.00, 90.00 degrees
Space group P-4m2 (No. 115)
Symmetry-distinct sites (fractional):
Nd1 0.000 0.500 0.248
Al1 0.000 0.000 0.000
Al2 0.000 0.500 0.633
Al3 0.500 0.500 0.000
Zn1 0.000 0.500 0.863
Zn2 0.500 0.500 0.500
Au1 0.000 0.000 0.500

Values from the calculation:
**ΔE_f**: -0.49 eV/atom
**Calculated density**: 6.65 g cm⁻³
**Total moment**: 0.0 μB per formula unit

This record from Alexandria describes an optimized crystal structure of Zr2ZnS. The functional is PBE.

Cell lengths 6.603, 6.603, 6.603 Å; angles 90.00, 90.00, 90.00 degrees
Space group Fm-3m (No. 225)
Symmetry-distinct sites (fractional):
Zr1 0.250 0.250 0.250
Zn1 0.000 0.000 0.000
S1 0.000 0.000 0.500

Values from the calculation:
**Energy relative to the lowest polymorph listed for this composition**: 384 meV/atom
**Energy relative to the elements, uncorrected**: -438 meV/atom
**Calculated density**: 6.46 g cm⁻³
**Total moment**: 0.0 μB per formula unit

This record from Alexandria describes an optimized crystal structure of YCrCd. The functional is PBE.

Cell lengths 3.4270, 3.4270, 7.1361 Å; angles 90.00, 90.00, 120.00 degrees
Space group P3m1 (No. 156)
Symmetry-distinct sites (fractional):
Y1 0.0000 0.0000 0.0000
Cr1 0.3333 0.6667 0.6680
Cd1 0.6667 0.3333 0.3664

Values from the calculation:
**ΔE_f**: 0.43 eV/atom
**Calculated density**: 5.80 g cm⁻³
**Total moment**: 3.7 μB per formula unit